VASP calculation (PBE) on a geometry-optimized Ce2IrOs structure.

Structure (POSCAR):
```
Ce2IrOs
1.0
0.0000 3.4775 3.4775
3.4775 0.0000 3.4775
3.4775 3.4775 0.0000
Ce Ir Os
2 1 1
Direct
0.2500 0.2500 0.2500 Ce
0.7500 0.7500 0.7500 Ce
0.0000 0.0000 0.0000 Ir
0.5000 0.5000 0.5000 Os
```

Computed properties:
**Total moment**: 0.1 μB per formula unit
**Energy relative to the elements**: -0.353 eV/atom
**E above lowest polymorph**: 11 meV/atom
**Mass density**: 13.1 Mg/m³
**Space group**: Fm-3m, No. 225